[1]
The following is a PBE calculation of an optimized crystal structure of Ba2Zn3SbPt4, from the Alexandria database.

Computed properties:
* calculated density: 10.19 g/cm³
* uncorrected energy: -42.5 eV/cell

a = 4.661 Å, b = 4.661 Å, c = 10.297 Å
α = 90.00°, β = 90.00°, γ = 90.00°
Fractional coordinates of all 10 atoms:
Pt 0.000 0.500 0.377
Pt 0.000 0.000 0.000
Pt 0.500 0.000 0.623
Pt 0.500 0.500 0.000
Sb 0.500 0.500 0.500
Zn 0.500 0.000 0.880
Zn 0.000 0.500 0.120
Zn 0.000 0.000 0.500
Ba 0.000 0.500 0.765
Ba 0.500 0.000 0.235

[2]
The following is a PBE calculation of an optimized crystal structure of SmTl2GeS4, from the Alexandria database.

Computed properties:
* calculated density: 6.19 g/cm³
* uncorrected energy: -36.9 eV/cell

a = 3.956 Å, b = 7.763 Å, c = 6.958 Å
α = 72.69°, β = 90.00°, γ = 90.00°
Fractional coordinates of all 8 atoms:
S 0.000 0.693 0.783
S 0.500 0.698 0.248
S 0.000 0.307 0.217
S 0.500 0.302 0.752
Sm 0.000 0.500 0.500
Tl 0.500 0.000 0.500
Tl 0.000 0.000 0.000
Ge 0.500 0.500 0.000

[3]
The following is a PBE calculation of an optimized crystal structure of SrAl2Co, from the Alexandria database.

Computed properties:
* calculated density: 3.81 g/cm³
* formation energy from the elements: -0.26 eV per atom

a = 4.196 Å, b = 4.196 Å, c = 6.218 Å
α = 70.29°, β = 70.29°, γ = 59.99°
Fractional coordinates of all 4 atoms:
Al 0.055 0.055 0.836
Al 0.445 0.445 0.664
Sr 0.250 0.250 0.250
Co 0.750 0.750 0.750

[4]
The following is a PBE calculation of an optimized crystal structure of Tl3Zn, from the Alexandria database.

Computed properties:
* calculated density: 10.31 g/cm³
* formation energy from the elements: 0.14 eV per atom

a = 4.781 Å, b = 4.781 Å, c = 4.781 Å
α = 90.00°, β = 90.00°, γ = 90.00°
Fractional coordinates of all 4 atoms:
Tl 0.500 0.000 0.500
Tl 0.000 0.500 0.500
Tl 0.500 0.500 0.000
Zn 0.000 0.000 0.000

[5]
The following is a PBE calculation of an optimized crystal structure of SmSnC, from the Alexandria database.

Computed properties:
* calculated density: 7.68 g/cm³
* formation energy from the elements: -0.08 eV per atom

a = 3.903 Å, b = 5.510 Å, c = 9.701 Å
α = 124.67°, β = 113.68°, γ = 45.13°
Fractional coordinates of all 6 atoms:
Sn 0.690 0.157 0.798
Sn 0.690 0.494 0.635
C 0.690 0.226 0.367
C 0.689 0.425 0.066
Sm 0.690 0.926 0.067
Sm 0.690 0.725 0.366

[6]
The following is a PBE calculation of an optimized crystal structure of AgHg2BOs, from the Alexandria database.

Computed properties:
* calculated density: 8.36 g/cm³
* formation energy from the elements: 1.93 eV per atom

a = 5.227 Å, b = 5.163 Å, c = 5.227 Å
α = 90.00°, β = 90.00°, γ = 90.00°
Last column: magnetic moment on the atom in μB.
Fractional coordinates of all 5 atoms:
B 0.500 0.500 0.500  -0.12
Hg 0.500 0.000 0.000  0.00
Hg 0.000 0.000 0.500  0.02
Ag 0.000 0.500 0.000  0.10
Os 0.000 0.000 0.000  1.15